w | First-principles (PBE) data for an optimized crystal structure of LiYIr3, as listed in Alexandria.

Cell and atoms, written as CIF:
```
data_LiYIr3
_cell_length_a 5.046
_cell_length_b 5.046
_cell_length_c 5.046
_cell_angle_alpha 90.00
_cell_angle_beta 90.00
_cell_angle_gamma 90.00
_symmetry_space_group_name_H-M 'P m -3 m'
_symmetry_Int_Tables_number 221
_symmetry_space_group_name_Hall '-P 4 2 3'
loop_
_atom_site_label
_atom_site_type_symbol
_atom_site_fract_x
_atom_site_fract_y
_atom_site_fract_z
_atom_site_occupancy
Li1 Li 0.000 0.000 0.000 1
Y1 Y 0.500 0.500 0.500 1
Ir1 Ir 0.000 0.500 0.500 1
```



x | First-principles (PBE) data for an optimized crystal structure of LiYIr3, as listed in Alexandria.

Cell and atoms, written as CIF:
```
data_LiYIr3
_cell_length_a 4.292
_cell_length_b 4.292
_cell_length_c 4.292
_cell_angle_alpha 90.00
_cell_angle_beta 90.00
_cell_angle_gamma 90.00
_symmetry_space_group_name_H-M 'P m -3 m'
_symmetry_Int_Tables_number 221
_symmetry_space_group_name_Hall '-P 4 2 3'
loop_
_atom_site_label
_atom_site_type_symbol
_atom_site_fract_x
_atom_site_fract_y
_atom_site_fract_z
_atom_site_occupancy
Li1 Li 0.000 0.000 0.000 1
Y1 Y 0.500 0.500 0.500 1
Ir1 Ir 0.000 0.000 0.500 1
```



Which one sits at the top of the stability order? x does.